1.
{
  "formula": "KCrCu2",
  "functional": "SCAN",
  "state": "single point on PBEsol structure",
  "ef_ev_per_atom": 0.540,
  "final_energy_ev_per_fu": -54.95,
  "dos_ef_per_ev_cell": 1.545,
  "total_magnetization_mub_per_atom": 1.151,
  "lattice": [[3.063, 0.000, 0.000], [0.000, 3.148, 0.000], [0.000, 0.000, 7.850]],
  "species": ["K", "Cr", "Cu", "Cu"],
  "fractional_positions": [[0.000, 0.000, 0.000], [0.500, 0.500, 0.364], [0.000, 0.000, 0.544], [0.500, 0.500, 0.686]]
}

***

2.
{
  "formula": "K2CrCu",
  "functional": "SCAN",
  "state": "single point on PBEsol structure",
  "ef_ev_per_atom": 0.591,
  "final_energy_ev_per_fu": -47.88,
  "dos_ef_per_ev_cell": 1.598,
  "de_polymorph_mev_per_atom": 0,
  "total_magnetization_mub_per_atom": 1.274,
  "lattice": [[-2.133, 2.863, 5.204], [2.133, -2.863, 5.204], [2.133, 2.863, -5.204]],
  "species": ["K", "K", "Cr", "Cu"],
  "fractional_positions": [[0.000, 0.000, 0.000], [0.695, 0.195, 0.500], [0.299, 0.799, 0.500], [0.417, 0.417, 0.000]]
}

***

3.
{
  "formula": "K2CrCu",
  "functional": "SCAN",
  "state": "single point on PBEsol structure",
  "ef_ev_per_atom": 0.810,
  "final_energy_ev_per_fu": -47.00,
  "dos_ef_per_ev_cell": 1.275,
  "de_polymorph_mev_per_atom": 219,
  "total_magnetization_mub_per_atom": 1.254,
  "lattice": [[4.746, 0.000, 0.000], [0.000, 4.746, 0.000], [0.000, 0.000, 5.001]],
  "species": ["K", "K", "Cr", "Cu"],
  "fractional_positions": [[0.000, 0.500, 0.000], [0.500, 0.000, 0.000], [0.000, 0.000, 0.500], [0.500, 0.500, 0.500]]
}

***

4.
{
  "formula": "KCrCu",
  "functional": "SCAN",
  "state": "single point on PBEsol structure",
  "ef_ev_per_atom": 1.375,
  "final_energy_ev_per_fu": -37.79,
  "dos_ef_per_ev_cell": 0.885,
  "total_magnetization_mub_per_atom": 1.941,
  "lattice": [[0.000, 3.544, 3.544], [3.544, 0.000, 3.544], [3.544, 3.544, 0.000]],
  "species": ["K", "Cr", "Cu"],
  "fractional_positions": [[0.000, 0.000, 0.000], [0.250, 0.250, 0.250], [0.750, 0.750, 0.750]]
}

***

5.
{
  "formula": "KCrCu3",
  "functional": "SCAN",
  "state": "single point on PBEsol structure",
  "ef_ev_per_atom": 0.877,
  "final_energy_ev_per_fu": -67.93,
  "dos_ef_per_ev_cell": 2.143,
  "total_magnetization_mub_per_atom": 0.919,
  "lattice": [[4.741, 0.000, 0.000], [0.000, 4.741, 0.000], [0.000, 0.000, 4.741]],
  "species": ["K", "Cr", "Cu", "Cu", "Cu"],
  "fractional_positions": [[0.000, 0.000, 0.000], [0.500, 0.500, 0.500], [0.000, 0.500, 0.500], [0.500, 0.000, 0.500], [0.500, 0.500, 0.000]]
}

***

6.
{
  "formula": "K2Cr2Cu",
  "functional": "SCAN",
  "state": "single point on PBEsol structure",
  "ef_ev_per_atom": 1.351,
  "final_energy_ev_per_fu": -61.87,
  "dos_ef_per_ev_cell": 2.263,
  "total_magnetization_mub_per_atom": 0.000,
  "lattice": [[-3.289, 3.289, 3.330], [3.289, -3.289, 3.330], [3.289, 3.289, -3.330]],
  "species": ["K", "K", "Cr", "Cr", "Cu"],
  "fractional_positions": [[0.250, 0.750, 0.500], [0.750, 0.250, 0.500], [0.127, 0.127, 0.000], [0.873, 0.873, 0.000], [0.500, 0.500, 0.000]]
}

***

7.
{
  "formula": "KSrCr2Cu",
  "functional": "SCAN",
  "state": "single point on PBEsol structure",
  "ef_ev_per_atom": 1.290,
  "final_energy_ev_per_fu": -76.12,
  "dos_ef_per_ev_cell": 2.684,
  "total_magnetization_mub_per_atom": 2.148,
  "lattice": [[5.479, 0.000, 0.000], [0.000, 5.479, 0.000], [0.000, 0.000, 5.277]],
  "species": ["K", "Sr", "Cr", "Cr", "Cu"],
  "fractional_positions": [[0.000, 0.000, 0.000], [0.500, 0.500, 0.500], [0.000, 0.500, 0.000], [0.500, 0.000, 0.000], [0.000, 0.000, 0.500]]
}

***

8.
{
  "formula": "LaCrCu",
  "functional": "SCAN",
  "state": "single point on PBEsol structure",
  "ef_ev_per_atom": 0.245,
  "final_energy_ev_per_fu": -75.96,
  "dos_ef_per_ev_cell": 2.152,
  "de_polymorph_mev_per_atom": 37,
  "total_magnetization_mub_per_atom": 1.294,
  "lattice": [[0.000, 3.248, 3.248], [3.248, 0.000, 3.248], [3.248, 3.248, 0.000]],
  "species": ["La", "Cr", "Cu"],
  "fractional_positions": [[0.000, 0.000, 0.000], [0.500, 0.500, 0.500], [0.250, 0.250, 0.250]]
}

***

9.
{
  "formula": "LaCr2Cu2",
  "functional": "SCAN",
  "state": "single point on PBEsol structure",
  "ef_ev_per_atom": 0.471,
  "final_energy_ev_per_fu": -107.92,
  "dos_ef_per_ev_cell": 6.116,
  "total_magnetization_mub_per_atom": 0.000,
  "lattice": [[-1.774, 1.774, 6.232], [1.774, -1.774, 6.232], [1.774, 1.774, -6.232]],
  "species": ["La", "Cr", "Cr", "Cu", "Cu"],
  "fractional_positions": [[0.000, 0.000, 0.000], [0.250, 0.750, 0.500], [0.750, 0.250, 0.500], [0.392, 0.392, 0.000], [0.608, 0.608, 0.000]]
}

***

10.
{
  "formula": "LaCrCu2",
  "functional": "SCAN",
  "state": "single point on PBEsol structure",
  "ef_ev_per_atom": 0.241,
  "final_energy_ev_per_fu": -90.92,
  "dos_ef_per_ev_cell": 2.274,
  "de_polymorph_mev_per_atom": 135,
  "total_magnetization_mub_per_atom": 0.877,
  "lattice": [[4.486, 0.000, 0.000], [0.000, 4.486, 0.000], [0.000, 0.000, 3.550]],
  "species": ["La", "Cr", "Cu", "Cu"],
  "fractional_positions": [[0.000, 0.000, 0.000], [0.500, 0.500, 0.000], [0.000, 0.500, 0.500], [0.500, 0.000, 0.500]]
}

***

11.
{
  "formula": "LaCrCu",
  "functional": "SCAN",
  "state": "single point on PBEsol structure",
  "ef_ev_per_atom": 0.208,
  "final_energy_ev_per_fu": -76.07,
  "dos_ef_per_ev_cell": 2.952,
  "de_polymorph_mev_per_atom": 0,
  "total_magnetization_mub_per_atom": 1.240,
  "lattice": [[-1.678, 1.678, 5.186], [1.678, -1.678, 5.186], [1.678, 1.678, -5.186]],
  "species": ["La", "Cr", "Cu"],
  "fractional_positions": [[0.000, 0.000, 0.000], [0.710, 0.710, 0.000], [0.299, 0.299, 0.000]]
}

***

12.
{
  "formula": "LaCrCu2",
  "functional": "SCAN",
  "state": "single point on PBEsol structure",
  "ef_ev_per_atom": 0.227,
  "final_energy_ev_per_fu": -90.98,
  "dos_ef_per_ev_cell": 1.546,
  "de_polymorph_mev_per_atom": 121,
  "total_magnetization_mub_per_atom": 0.903,
  "lattice": [[-2.097, 2.097, 3.927], [2.097, -2.097, 3.927], [2.097, 2.097, -3.927]],
  "species": ["La", "Cr", "Cu", "Cu"],
  "fractional_positions": [[0.000, 0.000, 0.000], [0.750, 0.250, 0.500], [0.250, 0.750, 0.500], [0.500, 0.500, 0.000]]
}

***

> Number 10 is which compound?

LaCrCu2